A plane-wave DFT calculation with PBE-GGA was carried out for a relaxed BiTeHN2 crystal.

Values from the calculation:
* calculated volume: 70.27 Å³ per cell
* calculated density: 8.64 g/cm³
* M_tot: 0.7 μB/f.u.
* density of states at the Fermi level: 0.529 states/eV/atom
* excess energy over the best structure of this formula in the dataset: 0.000 eV/atom

Unit cell a=4.4925 b=4.4925 c=3.4820 alpha=90.00 beta=90.00 gamma=90.00
With the nearest neighbours (Å) after each atom.
Space group P4/mmm (No. 123)
Inequivalent atoms, fractional coordinates:
Bi (0.0000, 0.0000, 0.0000)  8 N 2.84, 4 Te 3.18
Te (0.5000, 0.5000, 0.0000)  2 H 1.74
H (0.5000, 0.5000, 0.5000)  2 Te 1.74
N (0.0000, 0.5000, 0.5000)  2 H 2.25